No. 1
{"formula": "Ba3Tl2N", "functional": "PBE", "state": "optimized geometry", "lattice": [[8.3243, 0.0000, 0.0000], [-4.1621, 7.2090, 0.0000], [0.0000, 0.0000, 7.4700]], "species": ["Ba", "Ba", "Ba", "Ba", "Ba", "Ba", "Tl", "Tl", "Tl", "Tl", "N", "N"], "fractional_positions": [[0.1441, 0.2882, 0.2500], [0.1441, 0.8559, 0.2500], [0.2882, 0.1441, 0.7500], [0.7118, 0.8559, 0.2500], [0.8559, 0.1441, 0.7500], [0.8559, 0.7118, 0.7500], [0.3333, 0.6667, 0.5607], [0.3333, 0.6667, 0.9393], [0.6667, 0.3333, 0.0607], [0.6667, 0.3333, 0.4393], [0.0000, 0.0000, 0.0000], [0.0000, 0.0000, 0.5000]], "crystal_system": "hexagonal", "n_ef_per_ev_cell": 10.02, "e_tot_ev_per_cell": -41.815, "spacegroup": "P6_3/mmc, No. 194", "mass_density_g_cm3": 6.18}



No. 2
{"formula": "Ba7TlN2", "functional": "PBE", "state": "optimized geometry", "lattice": [[4.6469, -10.7264, 0.0000], [4.6469, 10.7264, 0.0000], [0.0000, 0.0000, 4.3535]], "species": ["Ba", "Ba", "Ba", "Ba", "Ba", "Ba", "Ba", "Tl", "N", "N"], "fractional_positions": [[0.0000, 0.0000, 0.0000], [0.1693, 0.4066, 0.0000], [0.1995, 0.8005, 0.5000], [0.4066, 0.1693, 0.0000], [0.5934, 0.8307, 0.0000], [0.8005, 0.1995, 0.5000], [0.8307, 0.5934, 0.0000], [0.5000, 0.5000, 0.5000], [0.1267, 0.8733, 0.0000], [0.8733, 0.1267, 0.0000]], "crystal_system": "orthorhombic", "n_ef_per_ev_cell": 8.15, "e_tot_ev_per_cell": -34.635, "spacegroup": "Cmmm, No. 65", "mass_density_g_cm3": 4.57}



No. 3
{"formula": "Ba4Tl2N", "functional": "PBE", "state": "optimized geometry", "lattice": [[7.6021, 0.0000, 0.0000], [0.0000, 7.8884, 0.0000], [-2.7083, 0.0000, 10.0311]], "species": ["Ba", "Ba", "Ba", "Ba", "Ba", "Ba", "Ba", "Ba", "Tl", "Tl", "Tl", "Tl", "N", "N"], "fractional_positions": [[0.0222, 0.0053, 0.2889], [0.0222, 0.4947, 0.2889], [0.3342, 0.7500, 0.0208], [0.4398, 0.7500, 0.6573], [0.5602, 0.2500, 0.3427], [0.6658, 0.2500, 0.9792], [0.9778, 0.5053, 0.7111], [0.9778, 0.9947, 0.7111], [0.1700, 0.2500, 0.0144], [0.3554, 0.2500, 0.6266], [0.6446, 0.7500, 0.3734], [0.8300, 0.7500, 0.9856], [0.1889, 0.7500, 0.7704], [0.8111, 0.2500, 0.2296]], "crystal_system": "monoclinic", "n_ef_per_ev_cell": 16.20, "e_tot_ev_per_cell": -45.894, "spacegroup": "P2_1/m, No. 11", "mass_density_g_cm3": 5.37, "de_polymorph_mev_per_atom": 0}



No. 4
{"formula": "Ba2TlZnN", "functional": "PBE", "state": "optimized geometry", "lattice": [[8.2500, 0.0000, 0.0000], [0.0000, 4.1626, 0.0000], [-4.0258, 0.0000, 8.9286]], "species": ["Ba", "Ba", "Ba", "Ba", "Tl", "Tl", "Zn", "Zn", "N", "N"], "fractional_positions": [[0.1885, 0.2500, 0.4794], [0.1908, 0.2500, 0.8796], [0.8092, 0.7500, 0.1204], [0.8115, 0.7500, 0.5206], [0.3268, 0.7500, 0.2296], [0.6732, 0.2500, 0.7704], [0.4314, 0.7500, 0.7625], [0.5686, 0.2500, 0.2375], [0.1702, 0.7500, 0.6791], [0.8298, 0.2500, 0.3209]], "crystal_system": "monoclinic", "n_ef_per_ev_cell": 3.53, "e_tot_ev_per_cell": -35.084, "spacegroup": "P2_1/m, No. 11", "mass_density_g_cm3": 6.05, "de_polymorph_mev_per_atom": 0}



No. 5
{"formula": "BaTlZnN2", "functional": "PBE", "state": "optimized geometry", "lattice": [[4.7460, 0.0000, 0.0000], [0.0000, 4.7460, 0.0000], [0.0000, 0.0000, 6.1772]], "species": ["Ba", "Tl", "Zn", "N", "N"], "fractional_positions": [[0.0000, 0.0000, 0.0000], [0.5000, 0.5000, 0.5000], [0.0000, 0.0000, 0.5000], [0.0000, 0.5000, 0.0000], [0.5000, 0.0000, 0.0000]], "crystal_system": "tetragonal", "n_ef_per_ev_cell": 2.06, "e_tot_ev_per_cell": -15.176, "spacegroup": "P4/mmm, No. 123", "mass_density_g_cm3": 5.19}



No. 6
{"formula": "Ba2TlZnN", "functional": "PBE", "state": "optimized geometry", "lattice": [[6.0285, 0.0000, 0.0000], [0.0000, 6.0285, 0.0000], [0.0000, 0.0000, 3.8977]], "species": ["Ba", "Ba", "Tl", "Zn", "N"], "fractional_positions": [[0.0000, 0.5000, 0.0000], [0.5000, 0.0000, 0.0000], [0.0000, 0.0000, 0.5000], [0.5000, 0.5000, 0.5000], [0.5000, 0.5000, 0.0000]], "crystal_system": "tetragonal", "n_ef_per_ev_cell": 1.08, "e_tot_ev_per_cell": -17.055, "spacegroup": "P4/mmm, No. 123", "mass_density_g_cm3": 6.55, "de_polymorph_mev_per_atom": 97}



No. 7
{"formula": "BaTmN", "functional": "PBE", "state": "optimized geometry", "lattice": [[3.6547, 0.0000, 0.0000], [-1.8273, 3.1651, 0.0000], [0.0000, 0.0000, 6.8871]], "species": ["Ba", "Tm", "N"], "fractional_positions": [[0.0000, 0.0000, 0.0000], [0.3333, 0.6667, 0.5713], [0.6667, 0.3333, 0.6904]], "crystal_system": "trigonal", "n_ef_per_ev_cell": 1.58, "e_tot_ev_per_cell": -16.955, "spacegroup": "P3m1, No. 156", "mass_density_g_cm3": 6.68, "de_polymorph_mev_per_atom": 171}



No. 8
{"formula": "BaTmN", "functional": "PBE", "state": "optimized geometry", "lattice": [[3.8920, 0.0000, 0.0000], [0.0000, 4.7264, 0.0000], [-0.0107, 0.0000, 9.2897]], "species": ["Ba", "Ba", "Tm", "Tm", "N", "N"], "fractional_positions": [[0.2495, 0.2500, 0.1732], [0.7505, 0.7500, 0.8268], [0.2502, 0.2500, 0.5704], [0.7498, 0.7500, 0.4296], [0.2502, 0.7500, 0.5582], [0.7498, 0.2500, 0.4418]], "crystal_system": "monoclinic", "n_ef_per_ev_cell": 1.70, "e_tot_ev_per_cell": -34.935, "spacegroup": "P2_1/m, No. 11", "mass_density_g_cm3": 6.22, "de_polymorph_mev_per_atom": 0}